Entry from the Open Quantum Materials Database: TaZnFeRe after structural relaxation (PBE-GGA).

Cell: 4.349 4.349 4.349 Å, 60.00 60.00 60.00°
Element x y z (fractional)
Re  0.250  0.250  0.250
Fe  0.750  0.750  0.750
Zn  0.000  0.000  0.000
Ta  0.500  0.500  0.500

Results
total moment	1.816	μB/f.u.
polymorph energy (0 for the lowest one)	0.0000	eV per atom